Record 1
A relaxed structure of Pr3NdPd2, computed with PBE.

Unit cell a=7.0846 b=7.4425 c=8.0670 alpha=105.67 beta=90.00 gamma=118.42
With the nearest neighbours (Å) after each atom.
Positions (direct):
1 Pd 0.6187 0.2366 0.5591  4 Pr 2.90-3.07, 1 Pd 2.95, 2 Nd 3.04-3.05
2 Pd 0.6179 0.2366 0.0591  4 Pr 2.90-3.07, 1 Pd 2.95, 2 Nd 3.04-3.05
3 Pd 0.3821 0.7634 0.9409  4 Pr 2.90-3.07, 1 Pd 2.95, 2 Nd 3.04-3.05
4 Pr 0.7523 0.0000 0.2500  4 Pd 3.07
5 Pd 0.3813 0.7634 0.4409  4 Pr 2.90-3.07, 1 Pd 2.95, 2 Nd 3.04-3.05
6 Pr 0.2145 0.4290 0.1073  2 Pd 2.90
7 Pr 0.7855 0.5710 0.3927  2 Pd 2.90
8 Nd 0.7463 0.0000 0.7500  4 Pd 3.04-3.05
9 Nd 0.2537 0.0000 0.2500  4 Pd 3.04-3.05
10 Pr 0.2145 0.4290 0.6073  2 Pd 2.90
11 Pr 0.7855 0.5710 0.8927  2 Pd 2.90
12 Pr 0.2477 0.0000 0.7500  4 Pd 3.07

- Formation enthalpy at 0 K: -0.475 eV/atom
- ΔE to the lowest computed polymorph: 0.000 eV/atom
- ρ: 7.27 g/cm3

Record 2
A relaxed structure of Li2BeBrCl, computed with PBE.

Unit cell a=4.4577 b=6.6137 c=4.4577 alpha=90.00 beta=90.00 gamma=90.00
With the nearest neighbours (Å) after each atom.
Positions (direct):
1 Li 0.5000 0.0000 0.0000  2 Cl 2.23
2 Br 0.0000 0.5000 0.0000  4 Be 3.15, 2 Cl 3.31
3 Cl 0.0000 0.0000 0.0000  4 Li 2.23
4 Be 0.5000 0.5000 0.5000  4 Br 3.15
5 Li 0.0000 0.0000 0.5000  2 Cl 2.23

- E_form (uncorrected): -4.03 kcal/mol of atoms
- ρ: 1.75 g/cm3

Record 3
A relaxed structure of Zr5Sc6, computed with PBE.

Unit cell a=4.8362 b=8.4309 c=8.4308 alpha=115.33 beta=106.68 gamma=106.68
With the nearest neighbours (Å) after each atom.
Positions (direct):
1 Sc 0.3009 0.8013 0.8013  5 Sc 3.03-3.17, 6 Zr 3.17-3.35
2 Sc 0.6991 0.1987 0.1987  5 Sc 3.03-3.17, 6 Zr 3.17-3.35
3 Zr 0.5000 0.7902 0.2098  8 Sc 3.02-3.35, 2 Zr 3.11
4 Zr 0.5000 0.2098 0.7902  8 Sc 3.02-3.35, 2 Zr 3.11
5 Sc 0.7962 0.6529 0.9403  7 Zr 3.02-3.31, 3 Sc 3.10-3.17
6 Sc 0.7962 0.9403 0.6530  7 Zr 3.02-3.31, 3 Sc 3.10-3.17
7 Zr 0.0000 0.6532 0.3468  4 Zr 3.11-3.26, 8 Sc 3.17-3.31
8 Sc 0.2038 0.3471 0.0597  7 Zr 3.02-3.31, 3 Sc 3.10-3.17
9 Zr 0.5000 0.5000 0.5000  8 Sc 3.05-3.33, 4 Zr 3.26
10 Zr 0.0000 0.3468 0.6532  4 Zr 3.11-3.26, 8 Sc 3.17-3.31
11 Sc 0.2038 0.0597 0.3471  7 Zr 3.02-3.31, 3 Sc 3.10-3.17

- Formation enthalpy at 0 K: 0.105 eV/atom
- ΔE to the lowest computed polymorph: 0.008 eV/atom
- ρ: 4.60 g/cm3